[1]
A relaxed Rb2Tl2Sn3 crystal. Source: the Alexandria database, functional PBE-GGA.

Cell and atoms, written as POSCAR:
```
Rb2Tl2Sn3
1.0
6.647 -2.608 0.000
6.647 2.608 0.000
-3.713 0.000 7.214
Rb Tl Sn
2 2 3
direct
0.155 0.155 0.293
0.845 0.845 0.707
0.154 0.154 0.771
0.846 0.846 0.229
0.416 0.416 0.077
0.500 0.500 0.500
0.584 0.584 0.923
```

***

[2]
A relaxed RbTlSn crystal. Source: the Alexandria database, functional PBE-GGA.

Cell and atoms, written as POSCAR:
```
RbTlSn
1.0
9.115 0.000 0.000
0.000 5.389 0.000
0.000 0.000 8.739
Rb Tl Sn
4 4 4
direct
0.003 0.250 0.176
0.497 0.750 0.676
0.503 0.250 0.324
0.997 0.750 0.824
0.166 0.750 0.411
0.334 0.250 0.911
0.666 0.750 0.089
0.834 0.250 0.589
0.174 0.250 0.595
0.326 0.750 0.095
0.674 0.250 0.905
0.826 0.750 0.405
```

***

[3]
A relaxed RbTl8Sn2 crystal. Source: the Alexandria database, functional PBE-GGA.

Cell and atoms, written as POSCAR:
```
RbTl8Sn2
1.0
6.884 0.000 0.000
0.000 6.884 0.000
0.000 0.000 10.127
Rb Tl Sn
1 8 2
direct
0.000 0.000 0.000
0.253 0.253 0.300
0.253 0.253 0.700
0.253 0.747 0.300
0.253 0.747 0.700
0.747 0.253 0.300
0.747 0.253 0.700
0.747 0.747 0.300
0.747 0.747 0.700
0.000 0.500 0.500
0.500 0.000 0.500
```

***

[4]
PBE-GGA Rb2TlSn2, relaxed; ΔE to the lowest computed polymorph = 0.266 eV per atom
1.0
-2.835 2.835 7.364
2.835 -2.835 7.364
2.835 2.835 -7.364
Rb Tl Sn
2 1 2
direct
0.250 0.750 0.500
0.750 0.250 0.500
0.000 0.000 0.000
0.411 0.411 0.000
0.589 0.589 0.000

***

[5]
PBE-GGA RbTlSn3, relaxed; ΔE to the lowest computed polymorph = 0.423 eV per atom
1.0
5.912 0.000 0.000
0.000 5.912 0.000
0.000 0.000 5.912
Rb Tl Sn
1 1 3
direct
0.000 0.000 0.000
0.500 0.500 0.500
0.000 0.500 0.500
0.500 0.000 0.500
0.500 0.500 0.000

***

[6]
A relaxed RbTlSn crystal. Source: the Alexandria database, functional PBE-GGA.

Cell and atoms, written as POSCAR:
```
RbTlSn
1.0
5.755 0.000 0.000
-2.878 4.984 0.000
0.000 0.000 3.561
Rb Tl Sn
1 1 1
direct
0.000 0.000 0.000
0.333 0.667 0.500
0.667 0.333 0.500
```

***

[7]
A relaxed RbTl2Sn4 crystal. Source: the Alexandria database, functional PBE-GGA.

Cell and atoms, written as POSCAR:
```
RbTl2Sn4
1.0
4.945 0.000 0.000
0.000 4.945 0.000
0.000 0.000 10.514
Rb Tl Sn
1 2 4
direct
0.000 0.000 0.000
0.000 0.500 0.733
0.500 0.000 0.267
0.000 0.000 0.500
0.000 0.500 0.308
0.500 0.000 0.692
0.500 0.500 0.500
```

***

[8]
PBE-GGA RbTlSn4, relaxed; ΔE to the lowest computed polymorph = 0.042 eV per atom
1.0
0.000 4.557 4.557
4.557 0.000 4.557
4.557 4.557 0.000
Rb Tl Sn
1 1 4
direct
0.000 0.000 0.000
0.750 0.750 0.750
0.375 0.375 0.375
0.375 0.375 0.874
0.375 0.874 0.375
0.874 0.375 0.375

***

Fermi-level density of states values (in states/eV/atom) by entry order: 0.5740 0.1170 0.3392 0.7202 0.7718 0.5438 0.4231 0.9735.
Formation energy from the elements values (in meV per atom) by entry order: -109 -147 90 116 355 -29 -21 -24.